No. 1
## ReMoIr3 (PBE)

Data for a geometry-optimized ReMoIr3 structure.

Cell lengths 4.7054, 4.7054, 4.7054 Å; angles 90.00, 90.00, 90.00 degrees
Last column: magnetic moment on the atom in μB.
Atoms (fractional coordinates):
Re 0.0000 0.0000 0.0000  0.03
Mo 0.5000 0.5000 0.5000  2.87
Ir 0.0000 0.5000 0.0000  0.03
Ir 0.0000 0.0000 0.5000  -0.05
Ir 0.5000 0.0000 0.0000  0.06

Computed properties:
For the total magnetic moment, the calculation gives 0.69 μB/atom. The distance to the lowest polymorph of the same formula is 0 meV per atom. The calculation puts the formation enthalpy at 0 K at 9.500 eV/f.u. The space group is No. 221. The value obtained for the density of states at the Fermi level is 0.96 states/eV/atom. The calculated total energy comes out at -40.36 eV/cell.

No. 2
## CaP (PBE)

Data for a geometry-optimized CaP structure.

Cell lengths 5.6734, 5.6734, 4.2729 Å; angles 80.33, 80.33, 42.11 degrees
Atoms (fractional coordinates):
Ca 0.0070 0.0070 0.1320
Ca 0.7430 0.7430 0.6180
P 0.2854 0.2854 0.0655
P 0.4646 0.4646 0.6845

Computed properties:
For the total magnetic moment, the calculation gives 0.00 μB/atom. The calculation puts the formation enthalpy at 0 K at -1.964 eV/f.u. The space group is No. 12. The value obtained for the density of states at the Fermi level is 0.10 states/eV/atom. The calculated total energy comes out at -18.75 eV/cell.

No. 3
## CrHg2Ru (PBE)

Data for a geometry-optimized CrHg2Ru structure.

Cell lengths 4.8986, 4.8986, 3.0767 Å; angles 90.00, 90.00, 104.04 degrees
Last column: magnetic moment on the atom in μB.
Atoms (fractional coordinates):
Cr 0.0000 0.5000 0.5000  3.58
Hg 0.0000 0.0000 0.0000  0.01
Hg 0.5000 0.5000 0.0000  0.01
Ru 0.5000 0.0000 0.5000  1.18

Computed properties:
For the total magnetic moment, the calculation gives 1.29 μB/atom. The distance to the lowest polymorph of the same formula is 271 meV per atom. The calculation puts the formation enthalpy at 0 K at 2.269 eV/f.u. The space group is No. 65. The value obtained for the density of states at the Fermi level is 0.75 states/eV/atom. The calculated total energy comes out at -17.23 eV/cell.

No. 4
## Cd2ReSb (PBE)

Data for a geometry-optimized Cd2ReSb structure.

Cell lengths 4.8403, 4.8403, 4.8403 Å; angles 60.00, 60.00, 60.00 degrees
Atoms (fractional coordinates):
Re 0.5000 0.5000 0.5000
Cd 0.0000 0.0000 0.0000
Cd 0.7500 0.7500 0.7500
Sb 0.2500 0.2500 0.2500

Computed properties:
For the total magnetic moment, the calculation gives 0.00 μB/atom. The space group is No. 216. For the formation energy (no corrections), the calculation gives 17.8 kcal/mol of atoms. The value obtained for the density of states at the Fermi level is 0.80 states/eV/atom. The calculated total energy comes out at -15.32 eV/cell.

No. 5
## Cs2ZrScF6 (PBE)

Data for a geometry-optimized Cs2ZrScF6 structure.

Cell lengths 6.3620, 6.3620, 6.3616 Å; angles 60.00, 60.00, 90.00 degrees
Last column: magnetic moment on the atom in μB.
Atoms (fractional coordinates):
Cs 0.7500 0.2500 0.5000  0.02
Cs 0.2500 0.7500 0.5000  0.02
Sc 0.5000 0.5000 0.0000  0.39
Zr 0.0000 0.0000 0.0000  1.67
F 0.2657 0.2657 0.4686  0.01
F 0.7343 0.7343 0.5314  0.01
F 0.2659 0.2659 0.0000  0.01
F 0.7341 0.7341 0.0000  0.01
F 0.7341 0.2659 0.0000  0.01
F 0.2659 0.7341 0.0000  0.01

Computed properties:
For the total magnetic moment, the calculation gives 0.30 μB/atom. The space group is No. 225. For the formation energy (no corrections), the calculation gives -65.7 kcal/mol of atoms. The value obtained for the density of states at the Fermi level is 0.75 states/eV/atom. The calculated total energy comes out at -56.33 eV/cell.

No. 6
## K5O6 (PBE)

Data for a geometry-optimized K5O6 structure.

Cell lengths 7.7608, 7.3682, 7.3682 Å; angles 138.49, 104.12, 104.12 degrees
Last column: magnetic moment on the atom in μB.
Atoms (fractional coordinates):
K 0.5000 0.5000 0.5000  0.00
K 0.0000 0.6251 0.3749  0.00
K 0.0000 0.3749 0.6251  0.00
K 0.5000 0.8176 0.1824  0.00
K 0.5000 0.1824 0.8176  0.00
O 0.6342 0.1353 0.1353  0.02
O 0.3658 0.8647 0.8647  0.02
O 0.8719 0.6895 0.0490  0.21
O 0.1281 0.9510 0.3105  0.21
O 0.1281 0.3105 0.9510  0.21
O 0.8719 0.0490 0.6895  0.21

Computed properties:
For the total magnetic moment, the calculation gives 0.09 μB/atom. The space group is No. 12. For the formation energy (no corrections), the calculation gives -20.5 kcal/mol of atoms. The value obtained for the density of states at the Fermi level is 0.50 states/eV/atom. The calculated total energy comes out at -45.03 eV/cell.

No. 7
## MgSc2Sn (PBE)

Data for a geometry-optimized MgSc2Sn structure.

Cell lengths 3.6974, 3.6974, 6.6095 Å; angles 90.00, 90.00, 90.00 degrees
Atoms (fractional coordinates):
Sc 0.0000 0.0000 0.7504
Sc 0.0000 0.0000 0.2496
Mg 0.5000 0.5000 0.5000
Sn 0.5000 0.5000 0.0000

Computed properties:
For the total magnetic moment, the calculation gives 0.00 μB/atom. The calculation puts the formation enthalpy at 0 K at -1.407 eV/f.u. The space group is No. 123. The value obtained for the density of states at the Fermi level is 0.61 states/eV/atom. The calculated total energy comes out at -19.67 eV/cell.

No. 8
## Al2AsCl (PBE)

Data for a geometry-optimized Al2AsCl structure.

Cell lengths 3.0074, 5.1181, 4.9188 Å; angles 90.00, 90.00, 90.00 degrees
Atoms (fractional coordinates):
As 0.5000 0.0000 0.5000
Al 0.0000 0.0000 0.0000
Al 0.5000 0.5000 0.0000
Cl 0.0000 0.5000 0.5000

Computed properties:
For the total magnetic moment, the calculation gives 0.00 μB/atom. The distance to the lowest polymorph of the same formula is 446 meV per atom. The space group is No. 47. For the formation energy (no corrections), the calculation gives 2.8 kcal/mol of atoms. The value obtained for the density of states at the Fermi level is 0.21 states/eV/atom. The calculated total energy comes out at -13.49 eV/cell.

No. 9
## FeSiPd (PBE)

Data for a geometry-optimized FeSiPd structure.

Cell lengths 3.5178, 3.5178, 12.9168 Å; angles 90.00, 90.00, 90.00 degrees
Last column: magnetic moment on the atom in μB.
Atoms (fractional coordinates):
Si 0.0000 0.0000 0.3715  -0.03
Si 0.0000 0.0000 0.6285  -0.03
Si 0.5000 0.5000 0.8715  -0.03
Si 0.5000 0.5000 0.1285  -0.03
Fe 0.0000 0.5000 0.0000  2.19
Fe 0.5000 0.0000 0.0000  2.19
Fe 0.5000 0.0000 0.5000  2.19
Fe 0.0000 0.5000 0.5000  2.19
Pd 0.0000 0.0000 0.1840  0.07
Pd 0.0000 0.0000 0.8160  0.07
Pd 0.5000 0.5000 0.6840  0.07
Pd 0.5000 0.5000 0.3160  0.07

Computed properties:
For the total magnetic moment, the calculation gives 0.75 μB/atom. The space group is No. 139. For the formation energy (no corrections), the calculation gives -9.2 kcal/mol of atoms. The value obtained for the density of states at the Fermi level is 0.51 states/eV/atom. The calculated total energy comes out at -81.13 eV/cell.

No. 10
## AlTl4Cl6 (PBE)

Data for a geometry-optimized AlTl4Cl6 structure.

Cell lengths 8.4238, 8.4238, 10.2716 Å; angles 90.00, 90.00, 90.00 degrees
Atoms (fractional coordinates):
Al 0.5000 0.5000 0.0000
Al 0.0000 0.0000 0.5000
Tl 0.3444 0.1556 0.2500
Tl 0.1556 0.6556 0.7500
Tl 0.6556 0.8444 0.7500
Tl 0.8444 0.3444 0.7500
Tl 0.3444 0.1556 0.7500
Tl 0.1556 0.6556 0.2500
Tl 0.8444 0.3444 0.2500
Tl 0.6556 0.8444 0.2500
Cl 0.2520 0.8804 0.5000
Cl 0.7520 0.6196 0.0000
Cl 0.6196 0.2480 0.0000
Cl 0.1196 0.2520 0.5000
Cl 0.0000 0.0000 0.2663
Cl 0.5000 0.5000 0.2337
Cl 0.3804 0.7520 0.0000
Cl 0.0000 0.0000 0.7337
Cl 0.2480 0.3804 0.0000
Cl 0.5000 0.5000 0.7663
Cl 0.8804 0.7480 0.5000
Cl 0.7480 0.1196 0.5000

Computed properties:
For the total magnetic moment, the calculation gives 0.00 μB/atom. The space group is No. 128. For the formation energy (no corrections), the calculation gives -23.5 kcal/mol of atoms. The value obtained for the density of states at the Fermi level is 0.30 states/eV/atom. The calculated total energy comes out at -70.95 eV/cell.

No. 11
## La2MgRh9 (PBE)

Data for a geometry-optimized La2MgRh9 structure.

Cell lengths 5.2677, 5.2677, 9.4612 Å; angles 73.84, 73.84, 60.00 degrees
Atoms (fractional coordinates):
La 0.8635 0.8635 0.4094
La 0.1365 0.1365 0.5906
Mg 0.0000 0.0000 0.0000
Rh 0.6673 0.6673 0.9982
Rh 0.3327 0.3327 0.0018
Rh 0.5000 0.5000 0.5000
Rh 0.4204 0.4204 0.2405
Rh 0.9188 0.4204 0.2405
Rh 0.4204 0.9188 0.2405
Rh 0.5796 0.5796 0.7595
Rh 0.5796 0.0812 0.7595
Rh 0.0812 0.5796 0.7595

Computed properties:
For the total magnetic moment, the calculation gives 0.00 μB/atom. The calculation puts the formation enthalpy at 0 K at -4.092 eV/f.u. The space group is No. 166. The value obtained for the density of states at the Fermi level is 1.09 states/eV/atom. The calculated total energy comes out at -81.70 eV/cell.

No. 12
## KTmPbI6 (PBE)

Data for a geometry-optimized KTmPbI6 structure.

Cell lengths 8.0760, 8.0760, 15.4435 Å; angles 90.00, 90.00, 120.00 degrees
Atoms (fractional coordinates):
K 0.0000 0.0000 0.0000
K 0.0000 0.0000 0.5000
Tm 0.6667 0.3333 0.2500
Tm 0.3333 0.6667 0.7500
Pb 0.3333 0.6667 0.2500
Pb 0.6667 0.3333 0.7500
I 0.6468 0.6245 0.1351
I 0.9777 0.3532 0.1351
I 0.3532 0.9777 0.6351
I 0.0223 0.6468 0.8649
I 0.3755 0.3532 0.3649
I 0.9777 0.6245 0.3649
I 0.6245 0.9777 0.8649
I 0.6468 0.0223 0.3649
I 0.0223 0.3755 0.6351
I 0.3755 0.0223 0.1351
I 0.6245 0.6468 0.6351
I 0.3532 0.3755 0.8649

Computed properties:
For the total magnetic moment, the calculation gives 0.00 μB/atom. The space group is No. 163. For the formation energy (no corrections), the calculation gives -26.7 kcal/mol of atoms. The value obtained for the density of states at the Fermi level is 0.00 states/eV/atom. The calculated total energy comes out at -58.03 eV/cell.

Please write out number 4 again, unchanged.
## Cd2ReSb (PBE)

Data for a geometry-optimized Cd2ReSb structure.

Cell lengths 4.8403, 4.8403, 4.8403 Å; angles 60.00, 60.00, 60.00 degrees
Atoms (fractional coordinates):
Re 0.5000 0.5000 0.5000
Cd 0.0000 0.0000 0.0000
Cd 0.7500 0.7500 0.7500
Sb 0.2500 0.2500 0.2500

Computed properties:
For the total magnetic moment, the calculation gives 0.00 μB/atom. The space group is No. 216. For the formation energy (no corrections), the calculation gives 17.8 kcal/mol of atoms. The value obtained for the density of states at the Fermi level is 0.80 states/eV/atom. The calculated total energy comes out at -15.32 eV/cell.